The following is a DFT calculation (PBE) of ErScNiOs after structural relaxation.

a = 6.564 Å, b = 6.564 Å, c = 6.564 Å
α = 90.00°, β = 90.00°, γ = 90.00°
Space group F-43m (No. 216)
Asymmetric unit:
Er 0.000 0.000 0.000 [4 per cell]
Sc 0.000 0.000 0.500 [4 per cell]
Ni 0.250 0.250 0.250 [4 per cell]
Os 0.250 0.250 0.750 [4 per cell]

Computed properties:
The polymorph energy (0 for the lowest one) comes out at 0.9 kJ per mole of atoms. The value obtained for the total energy is -7.379 eV per atom. For the density of states at the Fermi level, the calculation gives 0.398 states/eV/atom.